# TaGaCoMo2 (PBE-GGA, optimized geometry)
data_TaGaCoMo2
_chemical_formula_sum 'Ta1 Ga1 Co1 Mo2'
_symmetry_space_group_name_H-M 'P 1'
_symmetry_Int_Tables_number 1
_cell_length_a 4.610
_cell_length_b 4.113
_cell_length_c 4.610
_cell_angle_alpha 90.00
_cell_angle_beta 90.00
_cell_angle_gamma 90.00
loop_
_symmetry_equiv_pos_as_xyz
'x,y,z'
loop_
_atom_site_label
_atom_site_type_symbol
_atom_site_fract_x
_atom_site_fract_y
_atom_site_fract_z
Mo1 Mo 0.000 0.000 0.500
Mo2 Mo 0.500 0.000 0.000
Ta1 Ta 0.500 0.500 0.500
Co1 Co 0.000 0.500 0.000
Ga1 Ga 0.000 0.000 0.000
# total magnetization	1.58	μB/f.u.
# formation energy from the elements	1.1470	eV per atom
# calculated density	9.5	g/cm3